First-principles (PBE-GGA) data for a relaxed structure of SrPm2ErSe4, as listed in Alexandria.

Lattice parameters (Å, degrees): 7.274 4.174 7.328 90.00 108.95 90.00
Sites, in units of the cell vectors:
Sr  0.000  0.000  0.000
Pm  0.000  0.500  0.500
Pm  0.500  0.000  0.500
Er  0.500  0.500  0.000
Se  0.261  0.500  0.250
Se  0.262  0.000  0.758
Se  0.738  0.000  0.242
Se  0.739  0.500  0.750

Results
The density of states at the Fermi level comes out at 3.128 states/eV/f.u. The raw formation energy is -1.822 eV/atom.